DFT (PBE) results for an optimized crystal structure of Rb2OsSeBr6.

Lattice parameters (Å, degrees): 8.2052 8.2052 7.8058 58.29 58.29 90.00
Last column: magnetic moment on the atom in μB.
Fractional positions:
Br1 0.7828 0.2172 0.0000  0.06
Br2 0.2172 0.7828 0.0000  0.06
Br3 0.7547 0.7547 0.4906  0.08
Br4 0.2453 0.2453 0.5094  0.08
Br5 0.7828 0.7828 0.0000  0.06
Br6 0.2172 0.2172 0.0000  0.06
Se1 0.5000 0.5000 0.0000  0.46
Rb1 0.2500 0.7500 0.5000  0.00
Rb2 0.7500 0.2500 0.5000  0.00
Os1 0.0000 0.0000 0.0000  1.54

Values from the calculation:
Formation energy from raw total energies   -571 meV per atom



DFT (PBE) results for an optimized crystal structure of RbOsSeBr2.

Lattice parameters (Å, degrees): 6.2654 6.2654 6.2404 90.00 90.00 90.00
Last column: magnetic moment on the atom in μB.
Fractional positions:
Se1 0.0000 0.0000 0.5000  1.03
Br1 0.5000 0.0000 0.0000  0.25
Br2 0.0000 0.5000 0.0000  0.25
Rb1 0.0000 0.0000 0.0000  0.03
Os1 0.5000 0.5000 0.5000  3.79

Values from the calculation:
Formation energy from raw total energies   1492 meV per atom
Offset from the most stable computed form   856.8 kJ/mol of formula units



DFT (PBE) results for an optimized crystal structure of RbOsSe2Br.

Lattice parameters (Å, degrees): 4.8652 4.8652 5.7895 90.00 90.00 90.00
Fractional positions:
Se1 0.0000 0.5000 0.0000
Se2 0.5000 0.0000 0.0000
Rb1 0.5000 0.5000 0.5000
Br1 0.0000 0.0000 0.5000
Os1 0.0000 0.0000 0.0000

Values from the calculation:
Formation energy from raw total energies   -169 meV per atom
Offset from the most stable computed form   0.0 kJ/mol of formula units



DFT (PBE) results for an optimized crystal structure of RbOsSeBr2.

Lattice parameters (Å, degrees): 5.5060 5.5060 4.6605 90.00 90.00 90.00
Fractional positions:
Se1 0.0000 0.0000 0.5000
Os1 0.0000 0.0000 0.0000
Br1 0.0000 0.5000 0.0000
Br2 0.5000 0.0000 0.0000
Rb1 0.5000 0.5000 0.5000

Values from the calculation:
Formation energy from raw total energies   -284 meV per atom
Offset from the most stable computed form   0.0 kJ/mol of formula units



DFT (PBE) results for an optimized crystal structure of Rb2SrOsBr6.

Lattice parameters (Å, degrees): 7.8178 7.8178 7.8178 60.00 60.00 90.00
Fractional positions:
Rb1 0.7500 0.2500 0.5000
Rb2 0.2500 0.7500 0.5000
Br1 0.2303 0.2303 0.0000
Br2 0.2303 0.7697 0.0000
Br3 0.7697 0.2303 0.0000
Br4 0.2304 0.2304 0.5393
Br5 0.7696 0.7696 0.4607
Br6 0.7697 0.7697 0.0000
Os1 0.0000 0.0000 0.0000
Sr1 0.5000 0.5000 0.0000

Values from the calculation:
Formation energy from raw total energies   -1131 meV per atom



DFT (PBE) results for an optimized crystal structure of Rb2TcOsBr6.

Lattice parameters (Å, degrees): 7.5166 7.5166 7.5203 60.02 60.02 90.00
Last column: magnetic moment on the atom in μB.
Fractional positions:
Os1 0.0000 0.0000 0.0000  0.63
Br1 0.7580 0.2420 0.0000  0.06
Br2 0.2417 0.2417 0.5166  0.05
Br3 0.2420 0.7580 0.0000  0.06
Br4 0.7580 0.7580 0.0000  0.05
Br5 0.7583 0.7583 0.4834  0.05
Br6 0.2420 0.2420 0.0000  0.05
Rb1 0.7500 0.2500 0.5000  0.00
Rb2 0.2500 0.7500 0.5000  0.00
Tc1 0.5000 0.5000 0.0000  3.48

Values from the calculation:
Formation energy from raw total energies   -457 meV per atom



What is the formula in the fourth record?
RbOsSeBr2



Please write out number 6 again, unchanged.
DFT (PBE) results for an optimized crystal structure of Rb2TcOsBr6.

Lattice parameters (Å, degrees): 7.5166 7.5166 7.5203 60.02 60.02 90.00
Last column: magnetic moment on the atom in μB.
Fractional positions:
Os1 0.0000 0.0000 0.0000  0.63
Br1 0.7580 0.2420 0.0000  0.06
Br2 0.2417 0.2417 0.5166  0.05
Br3 0.2420 0.7580 0.0000  0.06
Br4 0.7580 0.7580 0.0000  0.05
Br5 0.7583 0.7583 0.4834  0.05
Br6 0.2420 0.2420 0.0000  0.05
Rb1 0.7500 0.2500 0.5000  0.00
Rb2 0.2500 0.7500 0.5000  0.00
Tc1 0.5000 0.5000 0.0000  3.48

Values from the calculation:
Formation energy from raw total energies   -457 meV per atom



Number 2 is which compound?
RbOsSeBr2



Which formula does entry 4 have?
RbOsSeBr2